[1]
Computed, not measured: a relaxed CrNiIr2Rh2 crystal at the PBE level of DFT.

Energy of formation ... 161.4 kJ/mol of formula units
Crystal system ... orthorhombic

Cell lengths 4.4739, 7.2752, 5.3084 Å; angles 90.00, 90.00, 90.00 degrees
With the nearest neighbours (Å) after each atom.
Fractional coordinates of all 12 atoms:
Cr1 0.0000 0.0000 0.0000  2 Rh 2.59, 4 Ir 2.61, 2 Ni 2.65
Cr2 0.5000 0.5000 0.5000  2 Rh 2.59, 4 Ir 2.61, 2 Ni 2.65
Ni1 0.5000 0.5000 0.0000  4 Rh 2.61, 2 Ir 2.62, 2 Cr 2.65
Ni2 0.0000 0.0000 0.5000  4 Rh 2.61, 2 Ir 2.62, 2 Cr 2.65
Ir1 0.5000 0.1549 0.1407  5 Rh 2.57-2.71, 2 Cr 2.61, 1 Ni 2.62, 1 Ir 2.70
Ir2 0.0000 0.6549 0.3593  5 Rh 2.57-2.71, 2 Cr 2.61, 1 Ni 2.62, 1 Ir 2.70
Ir3 0.5000 0.8451 0.8593  5 Rh 2.57-2.71, 2 Cr 2.61, 1 Ni 2.62, 1 Ir 2.70
Ir4 0.0000 0.3451 0.6407  5 Rh 2.57-2.71, 2 Cr 2.61, 1 Ni 2.62, 1 Ir 2.70
Rh1 0.5000 0.8429 0.3696  5 Ir 2.57-2.71, 1 Cr 2.59, 2 Ni 2.61, 1 Rh 2.67
Rh2 0.5000 0.1571 0.6304  5 Ir 2.57-2.71, 1 Cr 2.59, 2 Ni 2.61, 1 Rh 2.67
Rh3 0.0000 0.6571 0.8696  5 Ir 2.57-2.71, 1 Cr 2.59, 2 Ni 2.61, 1 Rh 2.67
Rh4 0.0000 0.3429 0.1304  5 Ir 2.57-2.71, 1 Cr 2.59, 2 Ni 2.61, 1 Rh 2.67

=====

[2]
Computed, not measured: a relaxed CrNiIrRu crystal at the PBE level of DFT.

Energy of formation ... 37.1 kJ/mol of formula units
Crystal system ... cubic

Cell lengths 4.1756, 4.1756, 4.1756 Å; angles 60.00, 60.00, 60.00 degrees
With the nearest neighbours (Å) after each atom.
Fractional coordinates of all 4 atoms:
Ru1 0.2500 0.2500 0.2500  4 Ni 2.56, 4 Cr 2.56
Ir1 0.7500 0.7500 0.7500  4 Cr 2.56, 4 Ni 2.56
Cr1 0.0000 0.0000 0.0000  4 Ir 2.56, 4 Ru 2.56
Ni1 0.5000 0.5000 0.5000  4 Ru 2.56, 4 Ir 2.56

=====

[3]
Computed, not measured: a relaxed CrNi2SbIr crystal at the PBE level of DFT.

Crystal system ... tetragonal
Formation energy without anion corrections ... 162.9 kJ per mole of atoms

Cell lengths 4.4796, 4.7149, 4.4796 Å; angles 90.00, 90.00, 90.00 degrees
With the nearest neighbours (Å) after each atom.
Fractional coordinates of all 5 atoms:
Sb1 0.0000 0.0000 0.0000  4 Ni 2.24, 2 Cr 2.36
Ir1 0.5000 0.5000 0.5000  4 Cr 3.17, 8 Ni 3.25
Cr1 0.0000 0.5000 0.0000  2 Sb 2.36
Ni1 0.0000 0.0000 0.5000  2 Sb 2.24
Ni2 0.5000 0.0000 0.0000  2 Sb 2.24

=====

[4]
Computed, not measured: a relaxed TiCrNiIr crystal at the PBE level of DFT.

Energy of formation ... -103.2 kJ/mol of formula units
Crystal system ... cubic

Cell lengths 4.2881, 4.2881, 4.2881 Å; angles 60.00, 60.00, 60.00 degrees
With the nearest neighbours (Å) after each atom.
Fractional coordinates of all 4 atoms:
Ni1 0.5000 0.5000 0.5000  4 Ti 2.63, 4 Cr 2.63
Ir1 0.0000 0.0000 0.0000  4 Ti 2.63, 4 Cr 2.63
Ti1 0.7500 0.7500 0.7500  4 Ni 2.63, 4 Ir 2.63
Cr1 0.2500 0.2500 0.2500  4 Ni 2.63, 4 Ir 2.63

=====

[5]
Computed, not measured: a relaxed CrNiIrW2 crystal at the PBE level of DFT.

Energy of formation ... 959.8 kJ/mol of formula units
Crystal system ... tetragonal

Cell lengths 4.7307, 4.4364, 4.7307 Å; angles 90.00, 90.00, 90.00 degrees
With the nearest neighbours (Å) after each atom.
Fractional coordinates of all 5 atoms:
Ni1 0.5000 0.5000 0.5000  8 W 3.24, 4 Cr 3.35
Ir1 0.0000 0.0000 0.0000  2 Cr 2.22, 4 W 2.37
W1 0.0000 0.0000 0.5000  2 Ir 2.37
W2 0.5000 0.0000 0.0000  2 Ir 2.37
Cr1 0.0000 0.5000 0.0000  2 Ir 2.22

=====

[6]
Computed, not measured: a relaxed Y2CrNiIr crystal at the PBE level of DFT.

Energy of formation ... 182.2 kJ/mol of formula units
Crystal system ... tetragonal
Distance to the lowest polymorph of the same formula ... 0.000 eV per atom

Cell lengths 5.3719, 4.5586, 5.3719 Å; angles 90.00, 90.00, 90.00 degrees
With the nearest neighbours (Å) after each atom.
Fractional coordinates of all 5 atoms:
Y1 0.0000 0.0000 0.5000  2 Ir 2.69
Y2 0.5000 0.0000 0.0000  2 Ir 2.69
Ni1 0.5000 0.5000 0.5000  8 Y 3.52, 4 Cr 3.80
Ir1 0.0000 0.0000 0.0000  2 Cr 2.28
Cr1 0.0000 0.5000 0.0000  2 Ir 2.28

=====

[7]
Computed, not measured: a relaxed Y2CrNiIr crystal at the PBE level of DFT.

Energy of formation ... 325.3 kJ/mol of formula units
Crystal system ... tetragonal
Distance to the lowest polymorph of the same formula ... 0.297 eV per atom

Cell lengths 5.0866, 4.0890, 5.0866 Å; angles 90.00, 90.00, 90.00 degrees
With the nearest neighbours (Å) after each atom.
Fractional coordinates of all 5 atoms:
Y1 0.0000 0.0000 0.5000  2 Cr 2.54
Y2 0.5000 0.0000 0.0000  2 Cr 2.54
Ni1 0.0000 0.5000 0.0000  2 Cr 2.04
Ir1 0.5000 0.5000 0.5000  8 Y 3.26, 4 Ni 3.60
Cr1 0.0000 0.0000 0.0000  2 Ni 2.04

=====

[8]
Computed, not measured: a relaxed ZrCrNi2Ir crystal at the PBE level of DFT.

Energy of formation ... 642.6 kJ/mol of formula units
Crystal system ... tetragonal

Cell lengths 4.5310, 4.8738, 4.5310 Å; angles 90.00, 90.00, 90.00 degrees
With the nearest neighbours (Å) after each atom.
Fractional coordinates of all 5 atoms:
Ni1 0.0000 0.0000 0.5000  2 Ir 2.27
Ni2 0.5000 0.0000 0.0000  2 Ir 2.27
Ir1 0.0000 0.0000 0.0000  4 Ni 2.27, 2 Zr 2.44
Zr1 0.0000 0.5000 0.0000  2 Ir 2.44
Cr1 0.5000 0.5000 0.5000  4 Zr 3.20, 8 Ni 3.33

=====

[9]
Computed, not measured: a relaxed NpCrIr crystal at the PBE level of DFT.

Energy of formation ... 11.7 kJ/mol of formula units
Crystal system ... orthorhombic

Cell lengths 5.0319, 4.9975, 5.0096 Å; angles 75.35, 59.85, 59.77 degrees
With the nearest neighbours (Å) after each atom.
Fractional coordinates of all 6 atoms:
Cr1 0.7500 0.5000 0.5000  2 Cr 2.52, 4 Ir 2.62, 4 Np 2.66
Cr2 0.2500 0.5000 0.5000  2 Cr 2.52, 4 Ir 2.62, 4 Np 2.66
Np1 0.8550 0.2900 0.0000  1 Np 2.50, 4 Cr 2.66
Np2 0.1450 0.7100 0.0000  1 Np 2.50, 4 Cr 2.66
Ir1 0.6591 0.0000 0.6817  4 Cr 2.62, 1 Ir 2.76
Ir2 0.3409 0.0000 0.3183  4 Cr 2.62, 1 Ir 2.76

=====

[10]
Computed, not measured: a relaxed NpCrIr2 crystal at the PBE level of DFT.

Energy of formation ... -93.9 kJ/mol of formula units
Crystal system ... tetragonal

Cell lengths 3.9613, 4.0406, 4.0406 Å; angles 90.00, 90.00, 90.00 degrees
With the nearest neighbours (Å) after each atom.
Fractional coordinates of all 4 atoms:
Np1 0.5000 0.5000 0.5000  8 Ir 2.83, 4 Cr 2.86
Cr1 0.5000 0.0000 0.0000  8 Ir 2.83, 4 Np 2.86
Ir1 0.0000 0.0000 0.5000  4 Cr 2.83, 4 Np 2.83, 4 Ir 2.86
Ir2 0.0000 0.5000 0.0000  4 Cr 2.83, 4 Np 2.83, 4 Ir 2.86